No. 1
# La7Tb2Sm3 | the Alexandria database | PBE-GGA | optimized geometry
data_La7Tb2Sm3
_symmetry_space_group_name_H-M 'P 1 2/m 1'
_symmetry_Int_Tables_number 10
_cell_length_a 6.008
_cell_length_b 3.644
_cell_length_c 19.478
_cell_angle_alpha 90.00
_cell_angle_beta 93.72
_cell_angle_gamma 90.00
loop_
_symmetry_equiv_pos_as_xyz
'x,y,z'
'-x,-y,-z'
'-x,y,-z'
'x,-y,z'
loop_
_atom_site_label
_atom_site_type_symbol
_atom_site_fract_x
_atom_site_fract_y
_atom_site_fract_z
La1 La 0.000 0.000 0.000
La2 La 0.176 0.500 0.183
La3 La 0.257 0.500 0.534
La4 La 0.327 0.000 0.854
Tb1 Tb 0.294 0.500 0.702
Sm1 Sm 0.217 0.000 0.364
Sm2 Sm 0.500 0.500 0.000
# magnetic moment	0.00	μB per cell
# formation enthalpy at 0 K	0.09	eV/atom
# energy relative to the lowest polymorph listed for this composition	0.022	eV per atom
# VASP energy	-0.1742	hartree per atom
# N(E_F)	1.61	states/eV per atom



No. 2
# SrLi5Au2 | the Alexandria database | PBE-GGA | optimized geometry
data_SrLi5Au2
_symmetry_space_group_name_H-M 'I m m m'
_symmetry_Int_Tables_number 71
_symmetry_space_group_name_Hall '-I 2 2'
_cell_length_a 4.276
_cell_length_b 8.082
_cell_length_c 10.066
_cell_angle_alpha 90.00
_cell_angle_beta 90.00
_cell_angle_gamma 90.00
loop_
_atom_site_label
_atom_site_type_symbol
_atom_site_fract_x
_atom_site_fract_y
_atom_site_fract_z
Sr1 Sr 0.000 0.000 0.000
Li1 Li 0.000 0.180 0.333
Li2 Li 0.000 0.500 0.000
Au1 Au 0.000 0.500 0.257
# magnetic moment	0.00	μB per cell
# formation enthalpy at 0 K	-0.41	eV/atom
# VASP energy	-0.0968	hartree per atom
# N(E_F)	0.34	states/eV per atom



No. 3
# AcPd3Pb3 | the Alexandria database | PBE-GGA | optimized geometry
data_AcPd3Pb3
_symmetry_space_group_name_H-M 'P 63/m'
_symmetry_Int_Tables_number 176
_symmetry_space_group_name_Hall '-P 6c'
_cell_length_a 9.2723
_cell_length_b 9.2723
_cell_length_c 4.7988
_cell_angle_alpha 90.00
_cell_angle_beta 90.00
_cell_angle_gamma 120.00
loop_
_atom_site_label
_atom_site_type_symbol
_atom_site_fract_x
_atom_site_fract_y
_atom_site_fract_z
Ac1 Ac 0.3333 0.6667 0.2500
Pd1 Pd 0.0608 0.6037 0.7500
Pb1 Pb 0.0364 0.2830 0.7500
# magnetic moment	0.00	μB per cell
# formation enthalpy at 0 K	-0.45	eV/atom
# energy relative to the lowest polymorph listed for this composition	0.000	eV per atom
# VASP energy	-0.1783	hartree per atom
# N(E_F)	0.58	states/eV per atom



No. 4
# LiAcNi | the Alexandria database | PBE-GGA | optimized geometry
data_LiAcNi
_symmetry_space_group_name_H-M 'I 4 m m'
_symmetry_Int_Tables_number 107
_symmetry_space_group_name_Hall 'I 4 -2'
_cell_length_a 3.691
_cell_length_b 3.691
_cell_length_c 10.063
_cell_angle_alpha 90.00
_cell_angle_beta 90.00
_cell_angle_gamma 90.00
loop_
_atom_site_label
_atom_site_type_symbol
_atom_site_fract_x
_atom_site_fract_y
_atom_site_fract_z
Li1 Li 0.000 0.000 0.000
Ac1 Ac 0.000 0.000 0.713
Ni1 Ni 0.000 0.000 0.372
# magnetic moment	0.00	μB per cell
# formation enthalpy at 0 K	0.07	eV/atom
# energy relative to the lowest polymorph listed for this composition	0.223	eV per atom
# VASP energy	-0.1420	hartree per atom
# N(E_F)	0.89	states/eV per atom



No. 5
# CePaSbO6 | the Alexandria database | PBE-GGA | optimized geometry
data_CePaSbO6
_symmetry_space_group_name_H-M 'P -3 1 c'
_symmetry_Int_Tables_number 163
_symmetry_space_group_name_Hall '-P 3 2c'
_cell_length_a 5.8299
_cell_length_b 5.8299
_cell_length_c 9.5991
_cell_angle_alpha 90.00
_cell_angle_beta 90.00
_cell_angle_gamma 120.00
loop_
_atom_site_label
_atom_site_type_symbol
_atom_site_fract_x
_atom_site_fract_y
_atom_site_fract_z
Ce1 Ce 0.0000 0.0000 0.0000
Pa1 Pa 0.3333 0.6667 0.2500
Sb1 Sb 0.3333 0.6667 0.7500
O1 O 0.0140 0.3402 0.1320
# magnetic moment	0.00	μB per cell
# energy relative to the elements, uncorrected	-2.742	eV/atom
# VASP energy	-0.3021	hartree per atom



No. 6
# CaCuRe2 | the Alexandria database | PBE-GGA | optimized geometry
data_CaCuRe2
_symmetry_space_group_name_H-M 'I 4/m m m'
_symmetry_Int_Tables_number 139
_symmetry_space_group_name_Hall '-I 4 2'
_cell_length_a 3.762
_cell_length_b 3.762
_cell_length_c 9.645
_cell_angle_alpha 90.00
_cell_angle_beta 90.00
_cell_angle_gamma 90.00
loop_
_atom_site_label
_atom_site_type_symbol
_atom_site_fract_x
_atom_site_fract_y
_atom_site_fract_z
Ca1 Ca 0.000 0.000 0.000
Cu1 Cu 0.000 0.000 0.500
Re1 Re 0.000 0.500 0.250
# magnetic moment	0.00	μB per cell
# formation enthalpy at 0 K	0.70	eV/atom
# energy relative to the lowest polymorph listed for this composition	0.416	eV per atom
# VASP energy	-0.2591	hartree per atom
# N(E_F)	0.73	states/eV per atom



No. 7
# Ba2TbErO5 | the Alexandria database | PBE-GGA | optimized geometry
data_Ba2TbErO5
_symmetry_space_group_name_H-M 'C m c 21'
_symmetry_Int_Tables_number 36
_cell_length_a 3.695
_cell_length_b 14.445
_cell_length_c 12.246
_cell_angle_alpha 90.00
_cell_angle_beta 90.00
_cell_angle_gamma 90.00
loop_
_symmetry_equiv_pos_as_xyz
'x,y,z'
'-x,-y,z+1/2'
'-x,y,z'
'x,-y,z+1/2'
'x+1/2,y+1/2,z'
'-x+1/2,-y+1/2,z+1/2'
'-x+1/2,y+1/2,z'
'x+1/2,-y+1/2,z+1/2'
loop_
_atom_site_label
_atom_site_type_symbol
_atom_site_fract_x
_atom_site_fract_y
_atom_site_fract_z
Ba1 Ba 0.000 0.092 0.000
Ba2 Ba 0.000 0.149 0.617
Tb1 Tb 0.000 0.223 0.345
Er1 Er 0.000 0.469 0.777
O1 O 0.000 0.060 0.360
O2 O 0.000 0.271 0.971
O3 O 0.000 0.311 0.734
O4 O 0.000 0.378 0.324
O5 O 0.000 0.492 0.109
# magnetic moment	0.00	μB per cell
# energy relative to the elements, uncorrected	-3.059	eV/atom
# VASP energy	-0.2669	hartree per atom
# N(E_F)	0.00	states/eV per atom



No. 8
# Li2SmInI6 | the Alexandria database | PBE-GGA | optimized geometry
data_Li2SmInI6
_symmetry_space_group_name_H-M 'R 3'
_symmetry_Int_Tables_number 146
_symmetry_space_group_name_Hall 'R 3'
_cell_length_a 7.8786
_cell_length_b 7.8786
_cell_length_c 21.6207
_cell_angle_alpha 90.00
_cell_angle_beta 90.00
_cell_angle_gamma 120.00
loop_
_atom_site_label
_atom_site_type_symbol
_atom_site_fract_x
_atom_site_fract_y
_atom_site_fract_z
Li1 Li 0.0000 0.0000 0.0000
Li2 Li 0.0000 0.0000 0.4958
Sm1 Sm 0.0000 0.0000 0.6812
In1 In 0.0000 0.0000 0.1933
I1 I 0.0061 0.6059 0.2549
I2 I 0.0129 0.3346 0.0835
# magnetic moment	0.00	μB per cell
# energy relative to the elements, uncorrected	-1.102	eV/atom
# VASP energy	-0.1161	hartree per atom
# N(E_F)	0.00	states/eV per atom



No. 9
# Ba2Al4TlGe3 | the Alexandria database | PBE-GGA | optimized geometry
data_Ba2Al4TlGe3
_symmetry_space_group_name_H-M 'P -4 m 2'
_symmetry_Int_Tables_number 115
_cell_length_a 4.893
_cell_length_b 4.893
_cell_length_c 10.315
_cell_angle_alpha 90.00
_cell_angle_beta 90.00
_cell_angle_gamma 90.00
loop_
_symmetry_equiv_pos_as_xyz
'x,y,z'
'y,-x,-z'
'-x,-y,z'
'-y,x,-z'
'-x,y,z'
'-y,-x,-z'
'x,-y,z'
'y,x,-z'
loop_
_atom_site_label
_atom_site_type_symbol
_atom_site_fract_x
_atom_site_fract_y
_atom_site_fract_z
Ba1 Ba 0.000 0.500 0.248
Al1 Al 0.000 0.000 0.000
Al2 Al 0.000 0.500 0.630
Al3 Al 0.500 0.500 0.000
Tl1 Tl 0.000 0.000 0.500
Ge1 Ge 0.000 0.500 0.886
Ge2 Ge 0.500 0.500 0.500
# magnetic moment	0.00	μB per cell
# formation enthalpy at 0 K	-0.26	eV/atom
# VASP energy	-0.1382	hartree per atom
# N(E_F)	0.47	states/eV per atom



No. 10
# Mn2ZnSi | the Alexandria database | PBE-GGA | optimized geometry
data_Mn2ZnSi
_symmetry_space_group_name_H-M 'P 4/m m m'
_symmetry_Int_Tables_number 123
_symmetry_space_group_name_Hall '-P 4 2'
_cell_length_a 2.658
_cell_length_b 2.658
_cell_length_c 7.000
_cell_angle_alpha 90.00
_cell_angle_beta 90.00
_cell_angle_gamma 90.00
loop_
_atom_site_label
_atom_site_type_symbol
_atom_site_fract_x
_atom_site_fract_y
_atom_site_fract_z
Mn1 Mn 0.000 0.000 0.229
Zn1 Zn 0.500 0.500 0.500
Si1 Si 0.500 0.500 0.000
# magnetic moment	4.45	μB per cell
# energy relative to the elements, uncorrected	-0.145	eV/atom
# VASP energy	-0.2354	hartree per atom
# N(E_F)	0.39	states/eV per atom



No. 11
# DySn3Rh4 | the Alexandria database | PBE-GGA | optimized geometry
data_DySn3Rh4
_symmetry_space_group_name_H-M 'R -3 m'
_symmetry_Int_Tables_number 166
_symmetry_space_group_name_Hall '-R 3 2"'
_cell_length_a 4.6380
_cell_length_b 4.6380
_cell_length_c 23.2334
_cell_angle_alpha 90.00
_cell_angle_beta 90.00
_cell_angle_gamma 120.00
loop_
_atom_site_label
_atom_site_type_symbol
_atom_site_fract_x
_atom_site_fract_y
_atom_site_fract_z
Dy1 Dy 0.0000 0.0000 0.0000
Sn1 Sn 0.0000 0.0000 0.2546
Sn2 Sn 0.0000 0.0000 0.5000
Rh1 Rh 0.0000 0.0000 0.1302
Rh2 Rh 0.0000 0.0000 0.3877
# magnetic moment	0.00	μB per cell
# formation enthalpy at 0 K	-0.58	eV/atom
# VASP energy	-0.2329	hartree per atom
# N(E_F)	0.67	states/eV per atom



No. 12
# MnV8Ga5 | the Alexandria database | PBE-GGA | optimized geometry
data_MnV8Ga5
_symmetry_space_group_name_H-M 'I -4'
_symmetry_Int_Tables_number 82
_cell_length_a 7.358
_cell_length_b 7.358
_cell_length_c 7.470
_cell_angle_alpha 90.00
_cell_angle_beta 90.00
_cell_angle_gamma 90.00
loop_
_symmetry_equiv_pos_as_xyz
'x,y,z'
'y,-x,-z'
'-x,-y,z'
'-y,x,-z'
'x+1/2,y+1/2,z+1/2'
'y+1/2,-x+1/2,-z+1/2'
'-x+1/2,-y+1/2,z+1/2'
'-y+1/2,x+1/2,-z+1/2'
loop_
_atom_site_label
_atom_site_type_symbol
_atom_site_fract_x
_atom_site_fract_y
_atom_site_fract_z
Mn1 Mn 0.000 0.000 0.000
V1 V 0.067 0.830 0.701
V2 V 0.080 0.706 0.029
Ga1 Ga 0.000 0.500 0.750
Ga2 Ga 0.110 0.735 0.371
# magnetic moment	0.00	μB per cell
# formation enthalpy at 0 K	0.02	eV/atom
# VASP energy	-0.2546	hartree per atom
# N(E_F)	0.81	states/eV per atom



Question: Among the records above, which one has the lowest VASP energy?
Answer: CePaSbO6